# 1
Na3HSe2: optimized geometry, PBE.

Calculated values
- energy (Ha/atom) = -0.116
- size of the total moment (Bohr magnetons per cell) = 0.0
- energy relative to the lowest polymorph listed for this composition (meV/atom) = 0

a b c (Å): 4.2684 12.7972 11.5857
angles (deg): 90.00 99.68 90.00
Closest atoms and distances in Å follow each position.
Sites, in units of the cell vectors:
Na1 0.0583 0.0180 0.1508  4 Se 2.88-3.04, 1 H 3.02, 1 Na 3.09
Na2 0.0583 0.4820 0.6508  4 Se 2.88-3.04, 1 H 3.02, 1 Na 3.09
Na3 0.1313 0.6781 0.8091  3 Se 2.93-3.09, 1 Na 3.09
Na4 0.1313 0.8219 0.3091  3 Se 2.93-3.09, 1 Na 3.09
Na5 0.2021 0.0886 0.4398  4 Se 2.89-3.04, 1 H 3.06
Na6 0.2021 0.4114 0.9398  4 Se 2.89-3.04, 1 H 3.06
Na7 0.7979 0.5886 0.0602  4 Se 2.89-3.04, 1 H 3.06
Na8 0.7979 0.9114 0.5602  4 Se 2.89-3.04, 1 H 3.06
Na9 0.8687 0.1781 0.6909  3 Se 2.93-3.09, 1 Na 3.09
Na10 0.8687 0.3219 0.1909  3 Se 2.93-3.09, 1 Na 3.09
Na11 0.9417 0.5180 0.3492  4 Se 2.88-3.04, 1 H 3.02, 1 Na 3.09
Na12 0.9417 0.9820 0.8492  4 Se 2.88-3.04, 1 H 3.02, 1 Na 3.09
H1 0.3342 0.1837 0.0113  1 Se 1.49
H2 0.3342 0.3163 0.5113  1 Se 1.49
H3 0.6658 0.6837 0.4887  1 Se 1.49
H4 0.6658 0.8163 0.9887  1 Se 1.49
Se1 0.0186 0.6900 0.5218  1 H 1.49
Se2 0.0186 0.8100 0.0218  1 H 1.49
Se3 0.3637 0.0206 0.6845  7 Na 2.88-2.95
Se4 0.3637 0.4794 0.1845  7 Na 2.88-2.95
Se5 0.6363 0.5206 0.8155  7 Na 2.88-2.95
Se6 0.6363 0.9794 0.3155  7 Na 2.88-2.95
Se7 0.9814 0.1900 0.9782  1 H 1.49
Se8 0.9814 0.3100 0.4782  1 H 1.49



# 2
BaPRhF: optimized geometry, PBE.

Calculated values
- energy (Ha/atom) = -0.227
- D(E_F) (states/eV/f.u.) = 2.3
- size of the total moment (Bohr magnetons per cell) = 0.0
- formation energy from raw total energies (eV/atom) = -2.029

a b c (Å): 4.1825 4.1825 9.2997
angles (deg): 90.00 90.00 90.00
Closest atoms and distances in Å follow each position.
Sites, in units of the cell vectors:
Ba1 0.2500 0.2500 0.1748  4 F 2.65
Ba2 0.7500 0.7500 0.8252  4 F 2.65
P1 0.2500 0.2500 0.6223  4 Rh 2.38
P2 0.7500 0.7500 0.3777  4 Rh 2.38
Rh1 0.2500 0.7500 0.5000  4 P 2.38
Rh2 0.7500 0.2500 0.5000  4 P 2.38
F1 0.2500 0.7500 0.0000  4 Ba 2.65, 4 F 2.96
F2 0.7500 0.2500 0.0000  4 Ba 2.65, 4 F 2.96



# 3
Ti3PbBr: optimized geometry, PBE.

Calculated values
- energy (Ha/atom) = -0.175
- D(E_F) (states/eV/f.u.) = 7.0
- size of the total moment (Bohr magnetons per cell) = 6.8
- formation energy from raw total energies (eV/atom) = 1.057
- energy relative to the lowest polymorph listed for this composition (meV/atom) = 657

a b c (Å): 5.3547 5.3547 5.3547
angles (deg): 90.00 90.00 90.00
Closest atoms and distances in Å follow each position.
Sites, in units of the cell vectors:
Ti1 0.0000 0.0000 0.5000  2 Pb 2.68
Ti2 0.0000 0.5000 0.0000  2 Pb 2.68
Ti3 0.5000 0.0000 0.0000  2 Pb 2.68
Pb1 0.0000 0.0000 0.0000  6 Ti 2.68
Br1 0.5000 0.5000 0.5000  12 Ti 3.79



# 4
BaCe2In9: optimized geometry, PBE.

Calculated values
- formation energy from the elements (eV per atom) = -0.346
- energy (Ha/atom) = -0.130
- D(E_F) (states/eV/f.u.) = 14.9
- size of the total moment (Bohr magnetons per cell) = 1.5

a b c (Å): 4.8091 4.8091 14.4415
angles (deg): 90.00 90.00 90.00
Closest atoms and distances in Å follow each position.
Sites, in units of the cell vectors:
Ba1 0.0000 0.0000 0.0000  12 In 3.40-3.53
Ce1 0.0000 0.0000 0.3417  12 In 3.32-3.40
Ce2 0.0000 0.0000 0.6583  12 In 3.32-3.40
In1 0.0000 0.5000 0.1794  8 In 3.32-3.53, 2 Ce 3.36, 2 Ba 3.53
In2 0.0000 0.5000 0.5000  4 Ce 3.32, 8 In 3.36-3.40
In3 0.0000 0.5000 0.8206  8 In 3.32-3.53, 2 Ce 3.36, 2 Ba 3.53
In4 0.5000 0.0000 0.1794  8 In 3.32-3.53, 2 Ce 3.36, 2 Ba 3.53
In5 0.5000 0.0000 0.5000  4 Ce 3.32, 8 In 3.36-3.40
In6 0.5000 0.0000 0.8206  8 In 3.32-3.53, 2 Ce 3.36, 2 Ba 3.53
In7 0.5000 0.5000 0.0000  4 Ba 3.40, 8 In 3.53
In8 0.5000 0.5000 0.3379  8 In 3.32-3.36, 4 Ce 3.40
In9 0.5000 0.5000 0.6621  8 In 3.32-3.36, 4 Ce 3.40



# 5
Dy4Tl3Se8: optimized geometry, PBE.

Calculated values
- energy (Ha/atom) = -0.178
- D(E_F) (states/eV/f.u.) = 5.6
- size of the total moment (Bohr magnetons per cell) = 0.0
- formation energy from raw total energies (eV/atom) = -1.276

a b c (Å): 8.4807 8.4807 8.3523
angles (deg): 119.18 119.18 89.55
Closest atoms and distances in Å follow each position.
Sites, in units of the cell vectors:
Dy1 0.0000 0.0000 0.0000  6 Se 2.86-2.93
Dy2 0.0000 0.0000 0.5000  6 Se 2.83-2.90
Dy3 0.0000 0.5000 0.0000  6 Se 2.99-3.04
Dy4 0.5000 0.0000 0.0000  6 Se 2.99-3.04
Tl1 0.0000 0.5000 0.5000  6 Se 3.00-3.04
Tl2 0.5000 0.0000 0.5000  6 Se 3.00-3.04
Tl3 0.5000 0.5000 0.5000  6 Se 3.13-3.20
Se1 0.2209 0.2209 0.4708  2 Dy 2.83-2.86, 2 Tl 3.00
Se2 0.2325 0.2325 0.9777  4 Dy 2.90-2.99, 1 Tl 3.18
Se3 0.2382 0.7618 0.5000  3 Dy 2.85-3.04, 3 Tl 3.01-3.13
Se4 0.2431 0.7569 0.0000  3 Dy 2.90-3.01, 2 Tl 3.04
Se5 0.7569 0.2431 0.0000  3 Dy 2.90-3.01, 2 Tl 3.04
Se6 0.7618 0.2382 0.5000  3 Dy 2.85-3.04, 3 Tl 3.01-3.13
Se7 0.7675 0.7675 0.0223  4 Dy 2.90-2.99, 1 Tl 3.18
Se8 0.7791 0.7791 0.5292  2 Dy 2.83-2.86, 2 Tl 3.00



# 6
ZnSb2Ir: optimized geometry, PBE.

Calculated values
- energy (Ha/atom) = -0.168
- D(E_F) (states/eV/f.u.) = 2.0
- size of the total moment (Bohr magnetons per cell) = 0.0
- formation energy from raw total energies (eV/atom) = 0.030
- energy relative to the lowest polymorph listed for this composition (meV/atom) = 93

a b c (Å): 3.1324 3.5247 7.6858
angles (deg): 90.00 90.00 90.00
Closest atoms and distances in Å follow each position.
Sites, in units of the cell vectors:
Zn1 0.0000 0.0000 0.0000  4 Ir 2.69, 5 Sb 2.87-2.91
Sb1 0.0000 0.0000 0.3739  4 Ir 2.84, 1 Zn 2.87, 2 Sb 3.13
Sb2 0.5000 0.5000 0.7775  4 Zn 2.91, 1 Ir 3.00, 2 Sb 3.13
Ir1 0.5000 0.5000 0.1674  4 Zn 2.69, 5 Sb 2.84-3.00



# 7
MgAg4Au7: optimized geometry, PBE.

Calculated values
- formation energy from the elements (eV per atom) = -0.066
- energy (Ha/atom) = -0.112
- D(E_F) (states/eV/f.u.) = 3.1
- size of the total moment (Bohr magnetons per cell) = 0.0
- energy relative to the lowest polymorph listed for this composition (meV/atom) = 0

a b c (Å): 5.2339 5.3807 8.1307
angles (deg): 82.15 88.71 85.11
Closest atoms and distances in Å follow each position.
Sites, in units of the cell vectors:
Mg1 0.0000 0.0000 0.0000  4 Au 2.62-2.80
Ag1 0.2622 0.3819 0.7566  8 Au 2.80-3.07, 2 Ag 2.80-2.87, 1 Mg 3.04
Ag2 0.3467 0.8885 0.6601  2 Ag 2.80-2.87, 6 Au 2.86-3.05
Ag3 0.6533 0.1115 0.3399  2 Ag 2.80-2.87, 6 Au 2.86-3.05
Ag4 0.7378 0.6181 0.2434  8 Au 2.80-3.07, 2 Ag 2.80-2.87, 1 Mg 3.04
Au1 0.1393 0.3031 0.4249  5 Au 2.80-2.94, 5 Ag 2.88-2.96
Au2 0.2171 0.8334 0.3110  1 Mg 2.80, 5 Au 2.80-2.97, 4 Ag 2.86-2.99
Au3 0.2536 0.4656 0.0890  3 Ag 2.80-3.07, 5 Au 2.82-3.02, 2 Mg 3.06-3.11
Au4 0.5000 0.0000 0.0000  2 Mg 2.62, 2 Ag 2.87, 2 Au 2.89
Au5 0.7464 0.5344 0.9110  3 Ag 2.80-3.07, 5 Au 2.82-3.02, 2 Mg 3.06-3.11
Au6 0.7829 0.1666 0.6890  1 Mg 2.80, 5 Au 2.80-2.97, 4 Ag 2.86-2.99
Au7 0.8607 0.6969 0.5751  5 Au 2.80-2.94, 5 Ag 2.88-2.96



# 8
CsNpMnTe4: optimized geometry, PBE.

Calculated values
- energy (Ha/atom) = -0.208
- D(E_F) (states/eV/f.u.) = 8.1
- size of the total moment (Bohr magnetons per cell) = 14.0
- formation energy from raw total energies (eV/atom) = -0.581

a b c (Å): 7.1285 7.1463 10.6590
angles (deg): 90.00 109.56 90.00
Closest atoms and distances in Å follow each position.
Sites, in units of the cell vectors:
Cs1 0.2345 0.2500 0.0501  8 Te 3.77-4.11
Cs2 0.7655 0.7500 0.9499  8 Te 3.77-4.11
Np1 0.2317 0.2500 0.5485  6 Te 3.08-3.17
Np2 0.7683 0.7500 0.4515  6 Te 3.08-3.17
Mn1 0.2323 0.7500 0.3425  4 Te 2.54-2.58
Mn2 0.7677 0.2500 0.6575  4 Te 2.54-2.58
Te1 0.0302 0.5126 0.7004  1 Mn 2.58
Te2 0.0302 0.9874 0.7004  1 Mn 2.58
Te3 0.4307 0.7500 0.1808  1 Mn 2.57
Te4 0.4453 0.7500 0.5871  1 Mn 2.54
Te5 0.5547 0.2500 0.4129  1 Mn 2.54
Te6 0.5693 0.2500 0.8192  1 Mn 2.57
Te7 0.9698 0.0126 0.2996  1 Mn 2.58
Te8 0.9698 0.4874 0.2996  1 Mn 2.58



Which of these has the lowest energy?
BaPRhF